Density functional theory data (PBE-GGA) for crystalline PrHoZnCo at its relaxed geometry.

Cell and atoms, written as extended XYZ:
```
4
Lattice="0.000 3.516 3.516 3.516 0.000 3.516 3.516 3.516 0.000" Properties=species:S:1:pos:R:3 pbc="T T T"
Pr 0.000 0.000 0.000
Ho 3.516 3.516 3.516
Zn 1.758 1.758 1.758
Co 5.274 5.274 5.274
```

E   -18.330 eV for the cell shown
Mass density   8.22 g/cm3
Space group   F-43m (216)
V   86.9 Å³/cell
E_form   -0.148 eV per atom

=====

Density functional theory data (PBE-GGA) for crystalline ZrZn7Ni5 at its relaxed geometry.

Cell and atoms, written as extended XYZ:
```
13
Lattice="-2.494 4.223 4.213 2.494 -4.223 4.213 2.494 4.223 -4.213" Properties=species:S:1:pos:R:3 pbc="T T T"
Zr 0.000 0.000 0.000
Zn 2.494 1.742 0.406
Zn 2.494 0.000 2.300
Zn 0.000 0.000 3.011
Zn 0.000 2.883 0.488
Zn 0.000 0.000 5.697
Zn 0.000 5.563 0.488
Zn 0.000 2.481 4.619
Ni 1.228 2.068 -1.668
Ni 3.760 2.068 -1.668
Ni -1.266 2.155 2.546
Ni 1.266 2.155 2.546
Ni 0.000 4.223 2.766
```

E   -49.685 eV for the cell shown
Mass density   7.88 g/cm3
Space group   Imm2 (44)
V   177.5 Å³/cell
E_form   -0.255 eV per atom

=====

Density functional theory data (PBE-GGA) for crystalline PaAlCo3 at its relaxed geometry.

Cell and atoms, written as extended XYZ:
```
10
Lattice="5.161 0.000 0.000 -2.581 4.470 0.000 0.000 0.000 6.809" Properties=species:S:1:pos:R:3 pbc="T T T"
Pa 0.000 2.980 1.702
Pa 2.581 1.490 5.106
Al 0.000 0.000 0.000
Al 0.000 0.000 3.404
Co 0.000 1.615 5.106
Co -1.182 3.662 5.106
Co 1.399 0.808 1.702
Co 1.182 3.662 5.106
Co 3.762 0.808 1.702
Co 2.581 2.854 1.702
```

E   -71.147 eV for the cell shown
Mass density   9.19 g/cm3
Space group   P6_3/mmc (194)
V   157.1 Å³/cell
E_form   -0.204 eV per atom

=====

Density functional theory data (PBE-GGA) for crystalline LiCr2Ga2 at its relaxed geometry.

Cell and atoms, written as extended XYZ:
```
10
Lattice="7.497 0.000 0.000 0.000 7.497 0.000 0.000 0.000 2.585" Properties=species:S:1:pos:R:3 pbc="T T T"
Li 0.000 0.000 0.000
Li 3.749 3.749 0.000
Cr 0.788 2.961 1.293
Cr 2.961 6.709 1.293
Cr 4.537 0.788 1.293
Cr 6.709 4.537 1.293
Ga 1.403 5.151 0.000
Ga 2.346 1.403 0.000
Ga 5.151 6.095 0.000
Ga 6.095 2.346 0.000
```

Excess energy over the best structure of this formula in the dataset   0.000 eV/atom
E   -53.876 eV for the cell shown
Mass density   5.72 g/cm3
Space group   P4/mbm (127)
V   145.3 Å³/cell
E_form   0.055 eV per atom